Record 1
{
  "formula": "Ac12TbPr3",
  "functional": "GGA-PBE",
  "state": "optimized geometry",
  "cell": [[5.5388, 0.0000, 0.0000], [0.0000, 5.5388, 0.0000], [0.0000, 0.0000, 22.0972]],
  "species": ["Ac", "Ac", "Ac", "Ac", "Ac", "Ac", "Ac", "Ac", "Ac", "Ac", "Ac", "Ac", "Tb", "Pr", "Pr", "Pr"],
  "frac_coords": [[0.0000, 0.0000, 0.0000], [0.0000, 0.0000, 0.2488], [0.0000, 0.0000, 0.5000], [0.0000, 0.0000, 0.7512], [0.0000, 0.5000, 0.1234], [0.0000, 0.5000, 0.3744], [0.0000, 0.5000, 0.6256], [0.0000, 0.5000, 0.8766], [0.5000, 0.0000, 0.1234], [0.5000, 0.0000, 0.3744], [0.5000, 0.0000, 0.6256], [0.5000, 0.0000, 0.8766], [0.5000, 0.5000, 0.0000], [0.5000, 0.5000, 0.2488], [0.5000, 0.5000, 0.5000], [0.5000, 0.5000, 0.7512]],
  "crystal_system": "tetragonal",
  "e_form_mev_per_atom": 22.8,
  "m_tot_mub_per_fu": 0.00
}


Record 2
{
  "formula": "Ta5Mo",
  "functional": "GGA-PBE",
  "state": "optimized geometry",
  "cell": [[5.2166, -1.6329, 0.0000], [5.2166, 1.6329, 0.0000], [-2.0424, 0.0000, 6.2662]],
  "species": ["Ta", "Ta", "Ta", "Ta", "Ta", "Mo"],
  "frac_coords": [[0.0000, 0.0000, 0.0000], [0.3349, 0.3349, 0.1731], [0.3398, 0.3398, 0.6630], [0.6602, 0.6602, 0.3370], [0.6651, 0.6651, 0.8269], [0.0000, 0.0000, 0.5000]],
  "crystal_system": "monoclinic",
  "e_form_mev_per_atom": -69.8,
  "m_tot_mub_per_fu": 0.00,
  "polymorph_energy_mev_per_atom": 3
}


Number 1 is which compound?
Ac12TbPr3